# 1
# Pm6Y2Tm3Mg, relaxed, DFT PBE
# Formation energy from the elements in eV/atom: 0.0210
# Size of the total moment in μB/atom: 0.00
data_Pm6Y2Tm3Mg
_space_group_name_H-M_alt 'C 1 2/m 1'
_space_group_IT_number 12
_cell_length_a 6.190
_cell_length_b 10.727
_cell_length_c 11.732
_cell_angle_alpha 90.00
_cell_angle_beta 100.16
_cell_angle_gamma 90.00
loop_
_space_group_symop_operation_xyz
'x,y,z'
'-x,-y,-z'
'-x,y,-z'
'x,-y,z'
'x+1/2,y+1/2,z'
'-x+1/2,-y+1/2,-z'
'-x+1/2,y+1/2,-z'
'x+1/2,-y+1/2,z'
loop_
_atom_site_label
_atom_site_fract_x
_atom_site_fract_y
_atom_site_fract_z
Pm1 0.249 0.000 0.248
Pm2 0.250 0.166 0.751
Y1 0.000 0.333 0.500
Tm1 0.000 0.166 0.000
Tm2 0.000 0.500 0.000
Mg1 0.000 0.000 0.500



# 2
# Tb4PrSm3S8, relaxed, DFT PBE
# Calculated total energy in eV per atom: -6.418
# Size of the total moment in μB/atom: 0.00
data_Tb4PrSm3S8
_space_group_name_H-M_alt 'R -3 m'
_space_group_IT_number 166
_space_group_name_Hall '-R 3 2"'
_cell_length_a 7.9406
_cell_length_b 7.9406
_cell_length_c 19.6185
_cell_angle_alpha 90.00
_cell_angle_beta 90.00
_cell_angle_gamma 120.00
loop_
_atom_site_label
_atom_site_fract_x
_atom_site_fract_y
_atom_site_fract_z
Tb1 0.0000 0.0000 0.0000
Tb2 0.0000 0.5000 0.0000
Pr1 0.0000 0.0000 0.5000
Sm1 0.0000 0.5000 0.5000
S1 0.0000 0.0000 0.2528
S2 0.0038 0.5019 0.7462



# 3
# BaLi4As2, relaxed, DFT PBE
# Formation energy from the elements in eV/atom: -0.7800
# Size of the total moment in μB/atom: 0.00
data_BaLi4As2
_space_group_name_H-M_alt 'P 42/m n m'
_space_group_IT_number 136
_space_group_name_Hall '-P 4n 2n'
_cell_length_a 8.252
_cell_length_b 8.252
_cell_length_c 4.457
_cell_angle_alpha 90.00
_cell_angle_beta 90.00
_cell_angle_gamma 90.00
loop_
_atom_site_label
_atom_site_fract_x
_atom_site_fract_y
_atom_site_fract_z
Ba1 0.000 0.000 0.000
Li1 0.096 0.328 0.500
As1 0.218 0.782 0.500